Record 1
DFT (PBE) results for a relaxed structure of EuSc3.

Cell: 3.371 5.420 5.977 Å, 90.00 90.00 90.00°
Fractional positions:
Eu  0.000  0.000  0.000
Sc  0.000  0.500  0.661
Sc  0.500  0.000  0.497
Sc  0.500  0.500  0.189

total magnetic moment = 8.59 μB/f.u.
formation energy = 13.4 kJ per mole of atoms

Record 2
DFT (PBE) results for a relaxed structure of EuSc2.

Cell: 6.450 6.450 6.450 Å, 60.00 60.00 60.00°
Fractional positions:
Eu  0.125  0.125  0.125
Eu  0.875  0.875  0.875
Sc  0.000  0.500  0.500
Sc  0.500  0.000  0.500
Sc  0.500  0.500  0.000
Sc  0.500  0.500  0.500

total magnetic moment = 9.24 μB/f.u.
formation energy = 23.8 kJ per mole of atoms

Record 3
DFT (PBE) results for a relaxed structure of EuSc.

Cell: 3.955 3.955 3.955 Å, 90.00 90.00 90.00°
Fractional positions:
Eu  0.000  0.000  0.000
Sc  0.500  0.500  0.500

total magnetic moment = 7.24 μB/f.u.
formation energy = 23.3 kJ per mole of atoms

Record 4
DFT (PBE) results for a relaxed structure of EuSc3.

Cell: 7.565 7.565 7.565 Å, 90.00 90.00 90.00°
Fractional positions:
Eu  0.000  0.000  0.000
Eu  0.000  0.500  0.500
Eu  0.500  0.000  0.500
Eu  0.500  0.500  0.000
Sc  0.000  0.000  0.500
Sc  0.000  0.500  0.000
Sc  0.250  0.250  0.250
Sc  0.250  0.250  0.750
Sc  0.250  0.750  0.250
Sc  0.250  0.750  0.750
Sc  0.500  0.000  0.000
Sc  0.500  0.500  0.500
Sc  0.750  0.250  0.250
Sc  0.750  0.250  0.750
Sc  0.750  0.750  0.250
Sc  0.750  0.750  0.750

total magnetic moment = 6.65 μB/f.u.
formation energy = 19.0 kJ per mole of atoms

The evaluated energy above the lowest structure with this stoichiometry for the records listed, in turn: 0; 104; 130; 59 meV per atom.